Entry 1:
## Mn2SiHg (meta-GGA SCAN)

Data for Mn2SiHg at its PBEsol-relaxed geometry.

Properties
DFT total energy ... -28.622 eV/atom
Size of the total moment ... 1.555 μB per atom
Space group ... Immm

Unit cell a=3.5530 b=4.2965 c=4.6364 alpha=117.60 beta=112.53 gamma=90.00
Element x y z (fractional)
Hg1 0.0000 0.5000 0.0000
Mn1 0.7763 0.7763 0.5526
Mn2 0.2237 0.2237 0.4474
Si1 0.5000 0.0000 0.0000

=====

Entry 2:
## MnSi2Hg (meta-GGA SCAN)

Data for MnSi2Hg at its PBEsol-relaxed geometry.

Properties
DFT total energy ... -26.071 eV/atom
Size of the total moment ... 0.957 μB per atom
Space group ... F-43m

Unit cell a=4.5352 b=4.5352 c=4.5352 alpha=60.00 beta=60.00 gamma=60.00
Element x y z (fractional)
Hg1 0.5000 0.5000 0.5000
Mn1 0.7500 0.7500 0.7500
Si1 0.0000 0.0000 0.0000
Si2 0.2500 0.2500 0.2500

=====

Entry 3:
## Mn2SiHg (meta-GGA SCAN)

Data for Mn2SiHg at its PBEsol-relaxed geometry.

Properties
DFT total energy ... -28.643 eV/atom
Size of the total moment ... 1.644 μB per atom
Space group ... I-4m2

Unit cell a=3.7174 b=3.7174 c=4.9657 alpha=111.98 beta=111.98 gamma=90.00
Element x y z (fractional)
Hg1 0.2500 0.7500 0.5000
Mn1 0.0000 0.0000 0.0000
Mn2 0.7500 0.2500 0.5000
Si1 0.5000 0.5000 0.0000

=====

Entry 4:
## MnSiHg2 (meta-GGA SCAN)

Data for MnSiHg2 at its PBEsol-relaxed geometry.

Properties
DFT total energy ... -40.747 eV/atom
Size of the total moment ... 1.015 μB per atom
Space group ... Cmmm

Unit cell a=2.9740 b=2.9740 c=9.3006 alpha=90.00 beta=90.00 gamma=115.50
Element x y z (fractional)
Hg1 0.0000 0.0000 0.2589
Hg2 0.0000 0.0000 0.7411
Mn1 0.5000 0.5000 0.5000
Si1 0.5000 0.5000 0.0000

=====

Entry 5:
## Mn2SiHg (meta-GGA SCAN)

Data for Mn2SiHg at its PBEsol-relaxed geometry.

Properties
DFT total energy ... -28.743 eV/atom
Size of the total moment ... 1.323 μB per atom
Space group ... Cmmm

Unit cell a=2.7616 b=2.7616 c=7.1007 alpha=90.00 beta=90.00 gamma=89.85
Element x y z (fractional)
Hg1 0.5000 0.5000 0.0000
Mn1 0.0000 0.0000 0.2935
Mn2 0.0000 0.0000 0.7065
Si1 0.5000 0.5000 0.5000

=====

Entry 6:
## Mn2SiHg (meta-GGA SCAN)

Data for Mn2SiHg at its PBEsol-relaxed geometry.

Properties
DFT total energy ... -28.315 eV/atom
Size of the total moment ... 1.335 μB per atom
Space group ... F-43m

Unit cell a=4.2916 b=4.2916 c=4.2916 alpha=60.00 beta=60.00 gamma=60.00
Element x y z (fractional)
Hg1 0.5000 0.5000 0.5000
Mn1 0.0000 0.0000 0.0000
Mn2 0.7500 0.7500 0.7500
Si1 0.2500 0.2500 0.2500

=====

Entry 7:
## ZrMnSi2Hg (meta-GGA SCAN)

Data for ZrMnSi2Hg at its PBEsol-relaxed geometry.

Properties
DFT total energy ... -26.400 eV/atom
Size of the total moment ... 0.685 μB per atom
Space group ... P4/mmm

Unit cell a=4.8117 b=5.0327 c=5.0327 alpha=90.00 beta=90.00 gamma=90.00
Element x y z (fractional)
Si1 0.0000 0.0000 0.5000
Si2 0.0000 0.5000 0.0000
Mn1 0.5000 0.0000 0.0000
Hg1 0.5000 0.5000 0.5000
Zr1 0.0000 0.0000 0.0000

=====

Entry 8:
## Sr4MnHg (meta-GGA SCAN)

Data for Sr4MnHg at its PBEsol-relaxed geometry.

Properties
Formation energy from the elements ... 0.5853 eV per atom
Size of the total moment ... 0.668 μB per atom
Space group ... F-43m

Unit cell a=6.9519 b=6.9519 c=6.9519 alpha=60.00 beta=60.00 gamma=60.00
Element x y z (fractional)
Hg1 0.7500 0.7500 0.7500
Mn1 0.0000 0.0000 0.0000
Sr1 0.3749 0.3749 0.3749
Sr2 0.3749 0.3749 0.8754
Sr3 0.8754 0.3749 0.3749
Sr4 0.3749 0.8754 0.3749